Entry 1:
The following is a DFT calculation (PBE-GGA) of a relaxed YSiI2 crystal.

calculated total energy: -3.82 eV per atom
theoretical density: 5.6 g/cm³
ΔE_f (raw): -0.076 eV/atom

Cell lengths 5.3718, 5.3718, 5.3718 Å; angles 60.00, 60.00, 60.00 degrees
With the nearest neighbours (Å) after each atom.
Element x y z (fractional)
I 0.2500 0.2500 0.2500  4 Si 3.29, 4 Y 3.29
I 0.7500 0.7500 0.7500  4 Si 3.29, 4 Y 3.29
Y 0.5000 0.5000 0.5000  8 I 3.29
Si 0.0000 0.0000 0.0000  8 I 3.29

***

Entry 2:
The following is a DFT calculation (PBE-GGA) of a relaxed Pm5Ho12Pu crystal.

calculated total energy: -5.13 eV per atom
theoretical density: 8.6 g/cm³
calculated formation energy: 0.034 eV per atom

Cell lengths 10.6478, 10.6469, 6.1501 Å; angles 106.68, 89.99, 60.00 degrees
With the nearest neighbours (Å) after each atom.
Element x y z (fractional)
Pm 0.5000 0.0000 0.5000  10 Ho 3.55-3.58, 2 Pm 3.56
Pm 0.1648 0.6702 0.5082  1 Pu 3.51, 10 Ho 3.51-3.58, 1 Pm 3.59
Pm 0.8352 0.3298 0.4918  1 Pu 3.51, 10 Ho 3.51-3.58, 1 Pm 3.59
Pm 0.6668 0.6661 0.9984  10 Ho 3.55-3.58, 2 Pm 3.56-3.59
Pm 0.3332 0.3339 0.0016  10 Ho 3.55-3.58, 2 Pm 3.56-3.59
Ho 0.8355 0.0001 0.5000  7 Ho 3.50-3.56, 3 Pm 3.52-3.57, 2 Pu 3.54
Ho 0.1645 0.0000 0.5000  7 Ho 3.50-3.56, 3 Pm 3.52-3.57, 2 Pu 3.54
Ho 0.6713 0.0000 0.0000  1 Pu 3.50, 7 Ho 3.50-3.65, 4 Pm 3.57-3.58
Ho 0.3287 0.0000 0.0000  1 Pu 3.50, 7 Ho 3.50-3.65, 4 Pm 3.57-3.58
Ho 0.3309 0.6703 0.0013  7 Ho 3.50-3.61, 4 Pm 3.51-3.58, 1 Pu 3.52
Ho 0.9987 0.6702 0.0013  7 Ho 3.50-3.61, 4 Pm 3.51-3.58, 1 Pu 3.52
Ho 0.0013 0.3298 0.9987  7 Ho 3.50-3.61, 4 Pm 3.51-3.58, 1 Pu 3.52
Ho 0.6691 0.3297 0.9987  7 Ho 3.50-3.61, 4 Pm 3.51-3.58, 1 Pu 3.52
Ho 0.5006 0.3339 0.5014  7 Ho 3.54-3.57, 5 Pm 3.54-3.57
Ho 0.8343 0.6661 0.4985  7 Ho 3.54-3.57, 5 Pm 3.54-3.56
Ho 0.1657 0.3339 0.5015  7 Ho 3.54-3.57, 5 Pm 3.54-3.56
Ho 0.4994 0.6661 0.4986  7 Ho 3.54-3.57, 5 Pm 3.54-3.57
Pu 0.0000 0.0000 0.0000  10 Ho 3.50-3.54, 2 Pm 3.51

***

Entry 3:
The following is a DFT calculation (PBE-GGA) of a relaxed NaSiF6 crystal.

calculated total energy: -4.92 eV per atom
theoretical density: 2.1 g/cm³
ΔE_f (raw): -2.669 eV/atom

Cell lengths 5.6614, 5.6614, 5.6614 Å; angles 60.00, 60.00, 60.00 degrees
With the nearest neighbours (Å) after each atom.
Element x y z (fractional)
Na 0.5000 0.5000 0.5000  6 F 2.30
Si 0.0000 0.0000 0.0000  6 F 1.70
F 0.7874 0.7874 0.2126  1 Si 1.70
F 0.7874 0.2126 0.2126  1 Si 1.70
F 0.2126 0.7874 0.7874  1 Si 1.70
F 0.2126 0.2126 0.7874  1 Si 1.70
F 0.2126 0.7874 0.2126  1 Si 1.70
F 0.7874 0.2126 0.7874  1 Si 1.70

***

Entry 4:
The following is a DFT calculation (PBE-GGA) of a relaxed Tb12Sm5Ho crystal.

calculated total energy: -4.56 eV per atom
theoretical density: 8.0 g/cm³
calculated formation energy: 0.088 eV per atom

Cell lengths 11.8613, 10.4231, 5.7348 Å; angles 90.00, 90.01, 55.32 degrees
With the nearest neighbours (Å) after each atom.
Element x y z (fractional)
Tb 0.8003 0.0000 0.4988  2 Tb 3.10, 2 Sm 3.32
Tb 0.1997 0.0000 0.5012  2 Tb 3.10, 2 Sm 3.32
Tb 0.7019 0.0000 0.9988  2 Tb 3.10, 2 Sm 3.36
Tb 0.2981 0.0000 0.0012  2 Tb 3.10, 2 Sm 3.36
Tb 0.3323 0.6415 0.9998  5 Tb 3.34-3.68, 3 Sm 3.47-3.63, 1 Ho 3.57
Tb 0.0262 0.6415 0.0002  5 Tb 3.34-3.68, 3 Sm 3.47-3.63, 1 Ho 3.57
Tb 0.9738 0.3585 0.9998  5 Tb 3.34-3.68, 3 Sm 3.47-3.63, 1 Ho 3.57
Tb 0.6677 0.3585 0.0002  5 Tb 3.34-3.68, 3 Sm 3.47-3.63, 1 Ho 3.57
Tb 0.4724 0.3599 0.5001  5 Tb 3.34-3.68, 4 Sm 3.47-3.64
Tb 0.8323 0.6401 0.5001  5 Tb 3.34-3.68, 4 Sm 3.47-3.64
Tb 0.1677 0.3599 0.4999  5 Tb 3.34-3.68, 4 Sm 3.47-3.64
Tb 0.5276 0.6401 0.4999  5 Tb 3.34-3.68, 4 Sm 3.47-3.64
Sm 0.5000 0.0000 0.5000  10 Tb 3.56-3.74, 4 Sm 3.71
Sm 0.1357 0.7287 0.5000  8 Tb 3.32-3.64, 2 Ho 3.69
Sm 0.8643 0.2713 0.5000  8 Tb 3.32-3.64, 2 Ho 3.69
Sm 0.6373 0.7253 0.0000  8 Tb 3.36-3.63, 2 Sm 3.71
Sm 0.3627 0.2747 0.0000  8 Tb 3.36-3.63, 2 Sm 3.71
Ho 0.0000 0.0000 0.0000  10 Tb 3.54-3.72, 4 Sm 3.69

***

Entry 5:
The following is a DFT calculation (PBE-GGA) of a relaxed LaPmY2 crystal.

calculated total energy: -5.64 eV per atom
theoretical density: 5.7 g/cm³
calculated formation energy: 0.010 eV per atom

Cell lengths 3.6433, 3.6433, 11.9309 Å; angles 81.22, 81.22, 60.00 degrees
With the nearest neighbours (Å) after each atom.
Element x y z (fractional)
Y 0.7509 0.7509 0.7473  3 Pm 3.59, 3 La 3.64, 6 Y 3.64
Y 0.2491 0.2491 0.2527  3 Pm 3.59, 3 La 3.64, 6 Y 3.64
La 0.0000 0.0000 0.0000  6 Y 3.64, 6 La 3.64
Pm 0.5000 0.5000 0.5000  6 Y 3.59, 6 Pm 3.64

***

Entry 6:
The following is a DFT calculation (PBE-GGA) of a relaxed CsCd2InRh crystal.

calculated total energy: -2.72 eV per atom
theoretical density: 6.2 g/cm³
calculated formation energy: -0.165 eV per atom

Cell lengths 5.4272, 5.4272, 5.2018 Å; angles 90.00, 90.00, 90.00 degrees
With the nearest neighbours (Å) after each atom.
Element x y z (fractional)
Cs 0.5000 0.5000 0.5000  8 Cd 3.76, 4 In 3.84
Cd 0.0000 0.5000 0.0000  2 Rh 2.71
Cd 0.5000 0.0000 0.0000  2 Rh 2.71
Rh 0.0000 0.0000 0.0000  2 In 2.60, 4 Cd 2.71
In 0.0000 0.0000 0.5000  2 Rh 2.60

***

Entry 7:
The following is a DFT calculation (PBE-GGA) of a relaxed DyY2Ag4 crystal.

calculated total energy: -4.23 eV per atom
theoretical density: 7.0 g/cm³
calculated formation energy: -0.096 eV per atom

Cell lengths 6.1990, 6.1990, 6.1990 Å; angles 109.10, 109.65, 109.65 degrees
With the nearest neighbours (Å) after each atom.
Element x y z (fractional)
Dy 0.0000 0.0000 0.0000  8 Ag 3.10
Y 0.5000 0.5000 0.0000  8 Ag 3.10
Y 0.5000 0.0000 0.5000  8 Ag 3.10
Ag 0.5000 0.0000 0.0000  4 Y 3.10, 2 Dy 3.10
Ag 0.5000 0.5000 0.5000  4 Y 3.10, 2 Dy 3.10
Ag 0.0000 0.0000 0.5000  2 Dy 3.10, 4 Y 3.10
Ag 0.0000 0.5000 0.0000  4 Y 3.10, 2 Dy 3.10

***

Entry 8:
The following is a DFT calculation (PBE-GGA) of a relaxed BAsI3 crystal.

calculated total energy: -2.22 eV per atom
theoretical density: 5.9 g/cm³
ΔE_f (raw): 0.979 eV/atom

Cell lengths 5.0863, 5.0863, 5.0863 Å; angles 90.00, 90.00, 90.00 degrees
With the nearest neighbours (Å) after each atom.
Element x y z (fractional)
I 0.0000 0.5000 0.0000  2 B 2.54
I 0.0000 0.0000 0.5000  2 B 2.54
I 0.5000 0.0000 0.0000  2 B 2.54
As 0.5000 0.5000 0.5000  12 I 3.60
B 0.0000 0.0000 0.0000  6 I 2.54

***

Entry 9:
The following is a DFT calculation (PBE-GGA) of a relaxed AgAsPb crystal.

calculated total energy: -3.68 eV per atom
theoretical density: 8.7 g/cm³
calculated formation energy: 0.053 eV per atom

Cell lengths 4.4749, 4.4749, 4.2805 Å; angles 90.00, 90.00, 120.00 degrees
With the nearest neighbours (Å) after each atom.
Element x y z (fractional)
Pb 0.6667 0.3333 0.6662  6 Ag 3.35-3.36, 6 As 3.35-3.36
As 0.3333 0.6667 0.1660  3 Ag 2.58
Ag 0.0000 0.0000 0.1678  3 As 2.58

***

Entry 10:
The following is a DFT calculation (PBE-GGA) of a relaxed Pm7Sm2Ho3 crystal.

calculated total energy: -4.62 eV per atom
theoretical density: 7.4 g/cm³
calculated formation energy: 0.086 eV per atom

Cell lengths 3.6309, 5.8772, 19.0139 Å; angles 93.71, 90.00, 90.00 degrees
With the nearest neighbours (Å) after each atom.
Element x y z (fractional)
Pm 0.5000 0.7416 0.4643  1 Sm 3.17, 2 Pm 3.23-3.25
Pm 0.5000 0.2584 0.5357  1 Sm 3.17, 2 Pm 3.23-3.25
Pm 0.0000 0.6730 0.1440  2 Ho 3.39, 2 Sm 3.43, 7 Pm 3.45-3.63
Pm 0.0000 0.0000 0.0000  4 Pm 3.45-3.63, 4 Ho 3.45
Pm 0.0000 0.3270 0.8560  2 Ho 3.39, 2 Sm 3.43, 7 Pm 3.45-3.63
Pm 0.5000 0.8245 0.8198  6 Pm 3.50-3.63, 2 Sm 3.67-3.70
Pm 0.5000 0.1755 0.1802  6 Pm 3.50-3.63, 2 Sm 3.67-3.70
Sm 0.5000 0.7031 0.2971  3 Pm 3.17-3.43
Sm 0.5000 0.2969 0.7029  3 Pm 3.17-3.43
Ho 0.5000 0.5000 0.0000  8 Pm 3.39-3.45, 2 Ho 3.63
Ho 0.0000 0.2158 0.3685  2 Ho 3.63, 8 Pm 3.66-4.01, 4 Sm 3.70-3.72
Ho 0.0000 0.7842 0.6315  2 Ho 3.63, 8 Pm 3.66-4.01, 4 Sm 3.70-3.72

***

Entry 11:
The following is a DFT calculation (PBE-GGA) of a relaxed CsNaTlCd crystal.

calculated total energy: -1.30 eV per atom
theoretical density: 5.2 g/cm³
calculated formation energy: 0.063 eV per atom

Cell lengths 5.9793, 5.9793, 5.9793 Å; angles 60.00, 60.00, 60.00 degrees
With the nearest neighbours (Å) after each atom.
Element x y z (fractional)
Cs 0.5000 0.5000 0.5000  4 Na 3.66, 4 Cd 3.66
Na 0.2500 0.2500 0.2500  4 Tl 3.66, 4 Cs 3.66
Tl 0.0000 0.0000 0.0000  4 Cd 3.66, 4 Na 3.66
Cd 0.7500 0.7500 0.7500  4 Cs 3.66, 4 Tl 3.66

***

Entry 12:
The following is a DFT calculation (PBE-GGA) of a relaxed YNi3B crystal.

calculated total energy: -6.46 eV per atom
theoretical density: 7.1 g/cm³
calculated formation energy: -0.362 eV per atom

Cell lengths 5.6411, 5.6411, 9.3477 Å; angles 90.00, 90.00, 120.00 degrees
With the nearest neighbours (Å) after each atom.
Element x y z (fractional)
Y 0.3333 0.6667 0.2500  12 Ni 2.82-2.85
Y 0.6667 0.3333 0.7500  12 Ni 2.82-2.85
Y 0.0000 0.0000 0.5000  12 Ni 2.79-2.82
Y 0.0000 0.0000 0.0000  12 Ni 2.79-2.82
Ni 0.1566 0.3132 0.7500  2 B 2.02
Ni 0.3132 0.1566 0.2500  2 B 2.02
Ni 0.8434 0.1566 0.2500  2 B 2.02
Ni 0.1566 0.8434 0.7500  2 B 2.02
Ni 0.6868 0.8434 0.7500  2 B 2.02
Ni 0.8434 0.6868 0.2500  2 B 2.02
Ni 0.5000 0.5000 0.5000  2 B 2.08
Ni 0.5000 0.0000 0.0000  2 B 2.08
Ni 0.5000 0.5000 0.0000  2 B 2.08
Ni 0.5000 0.0000 0.5000  2 B 2.08
Ni 0.0000 0.5000 0.5000  2 B 2.08
Ni 0.0000 0.5000 0.0000  2 B 2.08
B 0.6667 0.3333 0.1385  6 Ni 2.02-2.08, 1 B 2.08
B 0.3333 0.6667 0.6385  6 Ni 2.02-2.08, 1 B 2.08
B 0.3333 0.6667 0.8615  6 Ni 2.02-2.08, 1 B 2.08
B 0.6667 0.3333 0.3615  6 Ni 2.02-2.08, 1 B 2.08